Material: La3Sm2ErTe6
Method: DFT, PBE
State: relaxed

Output
DOS at the Fermi energy in states/eV/f.u.: 7.5
Uncorrected formation energy in kJ/mol of formula units: -1697
Volume in A^3/atom: 32.0
Final energy in eV per atom: -5.44

Cell: 19.585 4.472 9.030 Å, 90.00 103.46 90.00°
Space group C2/m (No. 12)
Asymmetric unit:
La 0.000 0.000 0.000 x2
La 0.170 0.500 0.334 x4
Sm 0.168 0.500 0.835 x4
Er 0.000 0.000 0.500 x2
Te 0.001 0.500 0.737 x4
Te 0.160 0.000 0.586 x4
Te 0.168 0.000 0.078 x4